[1]
12
Lattice="4.4196 0.0000 0.0000 -2.2098 3.8275 0.0000 0.0000 0.0000 7.2864" Properties=species:S:1:pos:R:3 comment="Be8NbRe3 | Alexandria via LeMat-Bulk | PBE-GGA | relaxed" space_group="P3m1 (156)" rho_g_cm3=9.7 dft_energy_ev_per_atom=-6.832 crystal_system=trigonal delta_e_f_ev_per_atom=-0.397 pbc="T T T"
Be 0.0000 2.5517 0.0166
Be 0.0000 2.5517 3.6135
Nb 0.0000 0.0000 4.0916
Be 3.2948 1.9023 5.5061
Be -1.1205 3.1986 1.7907
Be 1.1205 3.1986 1.7907
Be 1.1248 1.9023 5.5061
Re 2.2098 1.2758 3.1643
Be 2.2098 0.0230 5.5061
Be 0.0000 1.2578 1.7907
Re 2.2098 1.2758 0.4449
Re 0.0000 0.0000 6.8543

[2]
12
Lattice="-3.2043 -0.5397 3.1862 1.9334 -3.6435 -1.9228 5.2656 -0.0006 5.2955" Properties=species:S:1:pos:R:3 comment="Be8Nb3Re | Alexandria via LeMat-Bulk | PBE-GGA | relaxed" space_group="P3m1 (156)" rho_g_cm3=6.7 dft_energy_ev_per_atom=-6.337 crystal_system=trigonal delta_e_f_ev_per_atom=-0.298 pbc="T T T"
Nb 4.8958 -0.0005 4.9236
Be 1.6974 -2.3479 6.1556
Re 2.9662 -0.0003 2.9830
Be 2.4398 -3.1405 0.2525
Nb -1.1409 -1.5743 1.8360
Be 2.8620 -2.6092 2.4363
Be 2.3216 -0.2934 5.5352
Be 1.4468 -1.2690 1.2401
Nb 0.8250 -1.5745 3.8130
Be 0.7940 -3.4177 1.8890
Be 3.2711 -2.0829 4.5908
Be 0.2275 -2.6089 -0.2131

[3]
5
Lattice="4.3776 0.0000 0.0000 0.0000 4.3776 0.0000 0.0000 0.0000 4.3776" Properties=species:S:1:pos:R:3 comment="BeNb3Re | Alexandria via LeMat-Bulk | PBE-GGA | relaxed" space_group="Pm-3m (221)" rho_g_cm3=9.4 dft_energy_ev_per_atom=-8.556 crystal_system=cubic polymorph_energy_mev_per_atom=0 delta_e_f_ev_per_atom=0.720 pbc="T T T"
Nb 0.0000 0.0000 2.1888
Be 0.0000 0.0000 0.0000
Nb 2.1888 0.0000 0.0000
Nb 0.0000 2.1888 0.0000
Re 2.1888 2.1888 2.1888

[4]
19
Lattice="5.4705 0.0053 0.6514 0.5790 5.4398 0.6514 0.0059 0.0053 5.5091" Properties=species:S:1:pos:R:3 comment="Be17NbRe | Alexandria via LeMat-Bulk | PBE-GGA | relaxed" space_group="R3m (160)" rho_g_cm3=4.4 dft_energy_ev_per_atom=-4.685 crystal_system=trigonal delta_e_f_ev_per_atom=-0.166 pbc="T T T"
Be 3.9252 3.5330 1.7581
Be 3.8217 0.0289 2.0933
Be 2.3909 4.6112 2.6895
Be 2.0286 3.7976 0.6719
Be 2.1043 1.8941 5.1184
Nb 3.9952 3.5960 4.4943
Re 2.0421 1.8380 2.2972
Be 5.4678 4.9215 6.1508
Be 1.2861 3.5330 4.1042
Be 5.7462 2.7490 6.4640
Be 0.6185 0.5567 0.6957
Be 3.6484 0.9085 4.1042
Be 0.1998 1.6191 4.0407
Be 0.4295 3.7976 2.0933
Be 4.8365 1.8941 2.6895
Be 1.6311 0.0289 4.0407
Be 3.3365 5.4262 6.4640
Be 6.0286 5.4262 4.0708
Be 3.9895 1.6191 0.6719

[5]
5
Lattice="4.8398 0.0000 0.0000 0.0000 4.8398 0.0000 0.0000 0.0000 4.8398" Properties=species:S:1:pos:R:3 comment="BeNb3Re | Alexandria via LeMat-Bulk | PBE-GGA | relaxed" space_group="Pm-3m (221)" rho_g_cm3=6.9 dft_energy_ev_per_atom=-7.827 crystal_system=cubic polymorph_energy_mev_per_atom=729 delta_e_f_ev_per_atom=1.449 pbc="T T T"
Be 2.4199 2.4199 2.4199
Re 0.0000 0.0000 0.0000
Nb 2.4199 0.0000 0.0000
Nb 0.0000 2.4199 0.0000
Nb 0.0000 0.0000 2.4199

[6]
20
Lattice="-2.6627 0.8554 -1.2625 -2.6921 -9.0464 -0.4516 -3.8479 0.7157 8.6006" Properties=species:S:1:pos:R:3 comment="Be2Nb2ReRu5 | Alexandria via LeMat-Bulk | PBE-GGA | relaxed" space_group="P4/mbm (127)" rho_g_cm3=10.9 dft_energy_ev_per_atom=-8.892 crystal_system=tetragonal delta_e_f_ev_per_atom=-0.250 pbc="T T T"
Ru -2.1763 -1.4190 -0.1005
Be -2.7124 -0.6464 5.2827
Re 0.0000 0.0000 0.0000
Ru -4.3161 -1.7868 4.1635
Be -5.0546 -4.9843 7.2835
Ru -4.6353 -7.8105 0.7552
Re -3.2700 -4.1653 4.0745
Ru -3.5979 -3.2299 1.6709
Ru -4.8866 -5.6884 2.7229
Ru -5.6048 -4.2453 5.2156
Nb -1.7226 -1.3425 2.7236
Ru -2.6774 -4.0955 -0.8570
Ru -7.0264 -6.0562 6.9870
Nb -2.4852 -5.9742 1.1936
Ru -3.2553 0.7856 3.6690
Be -3.8276 -7.6842 2.8663
Be -1.4854 -3.3463 0.8655
Ru -4.5674 0.3353 6.1313
Nb -4.0548 -2.3564 6.9554
Nb -4.8173 -6.9881 5.4254

[7]
5
Lattice="-2.1619 -2.4151 3.7496 2.5973 -3.3916 -0.6870 3.3226 1.9075 3.1444" Properties=species:S:1:pos:R:3 comment="Sc2BeNbRe | Alexandria via LeMat-Bulk | PBE-GGA | relaxed" space_group="P4/mmm (123)" rho_g_cm3=5.9 dft_energy_ev_per_atom=-6.878 crystal_system=tetragonal delta_e_f_ev_per_atom=0.903 pbc="T T T"
Be 1.2987 -1.6958 -0.3435
Re 0.0000 0.0000 0.0000
Sc 1.6613 0.9538 1.5722
Nb 1.8791 -1.9496 3.1034
Sc -1.0809 -1.2076 1.8748

[8]
4
Lattice="-3.5284 1.4308 -2.3855 -3.8427 -2.3276 0.0565 -3.6052 1.6665 2.1007" Properties=species:S:1:pos:R:3 comment="ScBeNbRe | Alexandria via LeMat-Bulk | PBE-GGA | relaxed" space_group="F-43m (216)" rho_g_cm3=8.6 dft_energy_ev_per_atom=-8.224 crystal_system=cubic delta_e_f_ev_per_atom=-0.080 pbc="T T T"
Sc 0.0000 0.0000 0.0000
Be -8.2322 0.5773 -0.1713
Nb -5.4882 0.3848 -0.1142
Re -2.7441 0.1924 -0.0571

Number 1: total magnetic moment 0.000 μB per formula unit. Number 2: total magnetic moment 0.000 μB per formula unit. Number 3: total magnetic moment 0.000 μB per formula unit. Number 4: total magnetic moment 0.000 μB per formula unit. Number 5: total magnetic moment 0.000 μB per formula unit. Number 6: total magnetic moment 0.000 μB per formula unit. Number 7: total magnetic moment 2.143 μB per formula unit. Number 8: total magnetic moment 0.000 μB per formula unit.